# 1
Density functional theory data (GGA-PBE) for an optimized crystal structure of Ti2HOsPd. Values from VASP.

Geometry as Quantum ESPRESSO input:
```
&SYSTEM
  ibrav = 0, nat = 5, ntyp = 4
/
ATOMIC_SPECIES
H 1.01 H.upf
Pd 106.42 Pd.upf
Ti 47.87 Ti.upf
Os 190.23 Os.upf
ATOMIC_POSITIONS crystal
H 0.0000 0.0000 0.0000
Pd 0.5000 0.5000 0.5000
Ti 0.0000 0.5000 0.0000
Ti 0.5000 0.0000 0.0000
Os 0.0000 0.0000 0.5000
CELL_PARAMETERS angstrom
4.1480 0.0000 0.0000
0.0000 4.1480 0.0000
0.0000 0.0000 3.6841
```

## Properties
Size of the total moment = 0.0 μB per cell
ρ = 10.306 Mg/m³
DFT total energy = -7.52 eV/atom
Space group = P4/mmm

***

# 2
Density functional theory data (GGA-PBE) for an optimized crystal structure of CaReRh2. Values from VASP.

Geometry as Quantum ESPRESSO input:
```
&SYSTEM
  ibrav = 0, nat = 4, ntyp = 3
/
ATOMIC_SPECIES
Ca 40.08 Ca.upf
Re 186.21 Re.upf
Rh 102.91 Rh.upf
ATOMIC_POSITIONS crystal
Ca 0.0000 0.0000 0.4908
Re 0.5000 0.5000 0.7880
Rh 0.5000 0.5000 0.2251
Rh 0.0000 0.0000 0.9962
CELL_PARAMETERS angstrom
2.8096 0.0113 0.0000
-0.0120 2.8097 0.0000
0.0000 0.0000 8.5117
```

## Properties
Size of the total moment = 0.0 μB per cell
E_form = 0.253 eV/atom
ρ = 10.679 Mg/m³
Space group = P4mm